# Sc3TaTc (GGA-PBE, relaxed)
data_Sc3TaTc
_chemical_formula_sum 'Sc3 Ta1 Tc1'
_space_group_name_H-M_alt 'P m -3 m'
_space_group_IT_number 221
_space_group_name_Hall '-P 4 2 3'
_cell_length_a 4.866
_cell_length_b 4.866
_cell_length_c 4.866
_cell_angle_alpha 90.00
_cell_angle_beta 90.00
_cell_angle_gamma 90.00
loop_
_atom_site_label
_atom_site_type_symbol
_atom_site_fract_x
_atom_site_fract_y
_atom_site_fract_z
Sc1 Sc 0.000 0.000 0.500
Ta1 Ta 0.500 0.500 0.500
Tc1 Tc 0.000 0.000 0.000
# Raw total energy   -7.56 eV/atom
# Formation energy   0.68 eV per atom
# Magnetization   0.00 μB/cell
# Relative energy among the computed polymorphs   0 meV per atom
# DOS at the Fermi energy   1.6465 states/eV/atom

***

# ScTaTc2 (GGA-PBE, relaxed)
data_ScTaTc2
_chemical_formula_sum 'Sc1 Ta1 Tc2'
_space_group_name_H-M_alt 'P 1 m 1'
_space_group_IT_number 6
_cell_length_a 2.881
_cell_length_b 4.525
_cell_length_c 5.217
_cell_angle_alpha 90.00
_cell_angle_beta 102.39
_cell_angle_gamma 90.00
loop_
_space_group_symop_operation_xyz
'x,y,z'
'x,-y,z'
loop_
_atom_site_label
_atom_site_type_symbol
_atom_site_fract_x
_atom_site_fract_y
_atom_site_fract_z
Sc1 Sc 0.000 0.000 0.000
Ta1 Ta 0.710 0.500 0.266
Tc1 Tc 0.248 0.500 0.761
Tc2 Tc 0.487 0.000 0.508
# Raw total energy   -9.84 eV/atom
# Formation energy   -0.11 eV per atom
# Magnetization   0.00 μB/cell
# Relative energy among the computed polymorphs   216 meV per atom
# DOS at the Fermi energy   0.9204 states/eV/atom

***

# ScTaTc2 (GGA-PBE, relaxed)
data_ScTaTc2
_chemical_formula_sum 'Sc1 Ta1 Tc2'
_space_group_name_H-M_alt 'P 4 m m'
_space_group_IT_number 99
_cell_length_a 3.125
_cell_length_b 3.125
_cell_length_c 6.980
_cell_angle_alpha 90.00
_cell_angle_beta 90.00
_cell_angle_gamma 90.00
loop_
_space_group_symop_operation_xyz
'x,y,z'
'-y,x,z'
'-x,-y,z'
'y,-x,z'
'-x,y,z'
'y,x,z'
'x,-y,z'
'-y,-x,z'
loop_
_atom_site_label
_atom_site_type_symbol
_atom_site_fract_x
_atom_site_fract_y
_atom_site_fract_z
Sc1 Sc 0.000 0.000 0.000
Ta1 Ta 0.500 0.500 0.286
Tc1 Tc 0.000 0.000 0.524
Tc2 Tc 0.500 0.500 0.734
# Raw total energy   -9.74 eV/atom
# Formation energy   -0.01 eV per atom
# Magnetization   0.00 μB/cell
# Relative energy among the computed polymorphs   313 meV per atom
# DOS at the Fermi energy   1.0186 states/eV/atom

***

# ScTaTc2 (GGA-PBE, relaxed)
data_ScTaTc2
_chemical_formula_sum 'Sc4 Ta4 Tc8'
_space_group_name_H-M_alt 'I -4 2 d'
_space_group_IT_number 122
_space_group_name_Hall 'I -4 2bw'
_cell_length_a 7.133
_cell_length_b 7.133
_cell_length_c 5.628
_cell_angle_alpha 90.00
_cell_angle_beta 90.00
_cell_angle_gamma 90.00
loop_
_atom_site_label
_atom_site_type_symbol
_atom_site_fract_x
_atom_site_fract_y
_atom_site_fract_z
Sc1 Sc 0.000 0.000 0.000
Ta1 Ta 0.000 0.000 0.500
Tc1 Tc 0.234 0.250 0.625
# Raw total energy   -9.30 eV/atom
# Formation energy   0.43 eV per atom
# Magnetization   0.00 μB/cell
# Relative energy among the computed polymorphs   751 meV per atom
# DOS at the Fermi energy   1.1342 states/eV/atom